Below is an optimized crystal structure of SrLaMnFeO6, with properties calculated at the PBE with a Hubbard U level.

**Mass density**: 6.00 g cm⁻³
**Magnetic moment**: 0.80 μB/atom
**Uncorrected energy**: -145.533 eV per cell

```
SrLaMnFeO6
1.0
5.524 0.000 0.000
0.000 5.557 -0.005
0.000 -0.001 7.811
Sr La Mn Fe O
2 2 2 2 12
direct
0.513 0.498 0.750 Sr
0.987 0.998 0.250 Sr
0.019 0.006 0.750 La
0.481 0.506 0.250 La
0.999 0.500 0.000 Mn
0.501 0.000 0.500 Mn
0.502 0.000 0.000 Fe
0.998 0.500 0.500 Fe
0.996 0.566 0.754 O
0.504 0.066 0.254 O
0.491 0.950 0.746 O
0.009 0.450 0.246 O
0.260 0.267 0.970 O
0.240 0.767 0.470 O
0.769 0.223 0.532 O
0.731 0.723 0.032 O
0.723 0.732 0.467 O
0.777 0.232 0.967 O
0.233 0.759 0.029 O
0.267 0.259 0.529 O
```